An optimized crystal structure of Mg2Np2Zn15, computed with PBE-GGA.

a b c (Å): 6.8817 6.8817 6.8817
angles (deg): 82.55 82.55 82.55
Closest atoms and distances in Å follow each position.
Atoms (fractional coordinates):
Zn (0.7031, 0.0000, 0.2969)  8 Zn 2.62-2.83
Zn (0.3561, 0.3561, 0.8405)  8 Zn 2.58-2.83
Zn (0.0000, 0.7031, 0.2969)  8 Zn 2.62-2.83
Zn (0.0000, 0.2969, 0.7031)  8 Zn 2.62-2.83
Zn (0.0000, 0.0000, 0.5000)  8 Zn 2.62-2.67, 2 Mg 2.75
Zn (0.8405, 0.3561, 0.3561)  8 Zn 2.58-2.83
Zn (0.5000, 0.0000, 0.0000)  8 Zn 2.62-2.67, 2 Mg 2.75
Zn (0.2969, 0.7031, 0.0000)  8 Zn 2.62-2.83
Zn (0.6439, 0.6439, 0.1595)  8 Zn 2.58-2.83
Zn (0.6439, 0.1595, 0.6439)  8 Zn 2.58-2.83
Zn (0.1595, 0.6439, 0.6439)  8 Zn 2.58-2.83
Zn (0.7031, 0.2969, 0.0000)  8 Zn 2.62-2.83
Zn (0.0000, 0.5000, 0.0000)  8 Zn 2.62-2.67, 2 Mg 2.75
Zn (0.3561, 0.8405, 0.3561)  8 Zn 2.58-2.83
Zn (0.2969, 0.0000, 0.7031)  8 Zn 2.62-2.83
Np (0.3429, 0.3429, 0.3429)  18 Zn 3.15-3.53, 1 Mg 3.18
Np (0.6571, 0.6571, 0.6571)  18 Zn 3.15-3.53, 1 Mg 3.18
Mg (0.8950, 0.8950, 0.8950)  12 Zn 2.75-3.04, 1 Mg 2.81
Mg (0.1050, 0.1050, 0.1050)  12 Zn 2.75-3.04, 1 Mg 2.81

## Properties
Energy relative to the elements ... -0.051 eV per atom
Calculated volume ... 16.75 Å³/atom

***

An optimized crystal structure of MgO2, computed with PBE-GGA.

a b c (Å): 4.8963 4.8963 4.8963
angles (deg): 90.00 90.00 90.00
Closest atoms and distances in Å follow each position.
Atoms (fractional coordinates):
O (0.4112, 0.5888, 0.0888)  1 O 1.51
O (0.0888, 0.0888, 0.0888)  1 O 1.51
O (0.0888, 0.4112, 0.5888)  1 O 1.51
O (0.5888, 0.4112, 0.9112)  1 O 1.51
O (0.4112, 0.9112, 0.5888)  1 O 1.51
O (0.5888, 0.0888, 0.4112)  1 O 1.51
O (0.9112, 0.9112, 0.9112)  1 O 1.51
O (0.9112, 0.5888, 0.4112)  1 O 1.51
Mg (0.0000, 0.5000, 0.0000)  6 O 2.11
Mg (0.5000, 0.5000, 0.5000)  6 O 2.11
Mg (0.0000, 0.0000, 0.5000)  6 O 2.11
Mg (0.5000, 0.0000, 0.0000)  6 O 2.11

## Properties
Uncorrected formation energy ... -5.090 eV per formula unit
Calculated volume ... 9.78 Å³/atom

***

An optimized crystal structure of MgO8, computed with PBE-GGA.

a b c (Å): 4.9526 4.9912 7.1915
angles (deg): 111.89 46.53 90.84
Closest atoms and distances in Å follow each position.
Atoms (fractional coordinates):
O (0.1539, 0.8645, 0.1387)  1 O 1.23
O (0.4180, 0.6219, 0.3942)  1 O 1.29
O (0.2876, 0.3594, 0.6682)  1 O 1.29
O (0.2184, 0.0572, 0.2587)  1 O 1.23
O (0.0158, 0.5867, 0.7749)  1 O 1.29
O (0.5873, 0.1479, 0.9033)  1 O 1.32
O (0.7053, 0.3981, 0.2741)  1 O 1.29
O (0.5396, 0.9317, 0.7645)  1 O 1.32
Mg (0.0742, 0.0325, 0.8234)  6 O 2.07-2.19

## Properties
Uncorrected formation energy ... -3.281 eV per formula unit
Calculated volume ... 12.41 Å³/atom

***

An optimized crystal structure of MgO2, computed with PBE-GGA.

a b c (Å): 3.9502 5.0866 3.2047
angles (deg): 129.05 66.07 140.94
Closest atoms and distances in Å follow each position.
Atoms (fractional coordinates):
O (0.8577, 0.5690, 0.1389)  1 O 1.49
O (0.1432, 0.4265, 0.8535)  1 O 1.49
Mg (0.0005, 0.9978, 0.9963)  6 O 2.10

## Properties
Uncorrected formation energy ... -4.891 eV per formula unit
Calculated volume ... 10.35 Å³/atom

***

An optimized crystal structure of MgO5, computed with PBE-GGA.

a b c (Å): 3.2655 3.5273 7.6390
angles (deg): 91.26 90.00 117.57
Closest atoms and distances in Å follow each position.
Atoms (fractional coordinates):
O (0.8764, 0.7527, 0.3394)  1 O 1.33
O (0.3967, 0.7934, 0.0081)  1 O 1.78
O (0.4732, 0.9465, 0.6787)  1 O 1.24
O (0.6855, 0.3710, 0.2597)  1 O 1.33
O (0.3236, 0.6471, 0.7815)  1 O 1.24
Mg (0.0779, 0.1559, 0.0992)  6 O 2.10-2.25

## Properties
Uncorrected formation energy ... -3.411 eV per formula unit
Calculated volume ... 12.99 Å³/atom

***

An optimized crystal structure of MgO2, computed with PBE-GGA.

a b c (Å): 3.2449 6.3550 6.8322
angles (deg): 88.42 77.39 88.77
Closest atoms and distances in Å follow each position.
Atoms (fractional coordinates):
O (0.6556, 0.1771, 0.5484)  1 O 1.34
O (0.1268, 0.5362, 0.1741)  4 Mg 1.96-2.15
O (0.5094, 0.1127, 0.9592)  1 O 1.52
O (0.6971, 0.1289, 0.3546)  1 O 1.34
O (0.3444, 0.8229, 0.4516)  1 O 1.34
O (0.8732, 0.4638, 0.8259)  4 Mg 1.96-2.15
O (0.4906, 0.8873, 0.0408)  1 O 1.52
O (0.3029, 0.8711, 0.6454)  1 O 1.34
Mg (0.3518, 0.6332, 0.8655)  5 O 1.96-2.15
Mg (0.6482, 0.3668, 0.1345)  5 O 1.96-2.15
Mg (0.0682, 0.1751, 0.7509)  5 O 1.97-2.15
Mg (0.9318, 0.8249, 0.2491)  5 O 1.97-2.15

## Properties
Uncorrected formation energy ... -4.632 eV per formula unit
Calculated volume ... 11.45 Å³/atom

***

An optimized crystal structure of Mg2OsO6, computed with PBE-GGA.

a b c (Å): 4.7243 4.7243 9.0757
angles (deg): 90.00 90.00 90.00
Closest atoms and distances in Å follow each position.
Atoms (fractional coordinates):
Mg (0.5000, 0.5000, 0.8359)  6 O 2.06-2.13
Mg (0.0000, 0.0000, 0.3359)  6 O 2.06-2.13
Mg (0.5000, 0.5000, 0.1641)  6 O 2.06-2.13
Mg (0.0000, 0.0000, 0.6641)  6 O 2.06-2.13
O (0.2175, 0.7825, 0.5000)  1 Os 1.89, 2 Mg 2.08
O (0.8079, 0.1921, 0.8510)  1 Os 1.86, 1 Mg 2.06
O (0.7825, 0.2175, 0.5000)  1 Os 1.89, 2 Mg 2.08
O (0.1921, 0.8079, 0.8510)  1 Os 1.86, 1 Mg 2.06
O (0.2825, 0.2825, 0.0000)  1 Os 1.89, 2 Mg 2.08
O (0.6921, 0.6921, 0.3510)  1 Os 1.86, 1 Mg 2.06
O (0.3079, 0.3079, 0.3510)  1 Os 1.86, 1 Mg 2.06
O (0.3079, 0.3079, 0.6490)  1 Os 1.86, 1 Mg 2.06
O (0.1921, 0.8079, 0.1490)  1 Os 1.86, 1 Mg 2.06
O (0.7175, 0.7175, 0.0000)  1 Os 1.89, 2 Mg 2.08
O (0.8079, 0.1921, 0.1490)  1 Os 1.86, 1 Mg 2.06
O (0.6921, 0.6921, 0.6490)  1 Os 1.86, 1 Mg 2.06
Os (0.0000, 0.0000, 0.0000)  6 O 1.86-1.89
Os (0.5000, 0.5000, 0.5000)  6 O 1.86-1.89

## Properties
Uncorrected formation energy ... -15.003 eV per formula unit
Calculated volume ... 11.25 Å³/atom

***

An optimized crystal structure of MgOsO4, computed with PBE-GGA.

a b c (Å): 4.6769 5.5508 5.6274
angles (deg): 113.23 90.00 90.00
Closest atoms and distances in Å follow each position.
Atoms (fractional coordinates):
Os (0.0000, 0.0000, 0.0000)  6 O 1.87-1.97
Os (0.5000, 0.5000, 0.0000)  6 O 1.87-1.97
O (0.6859, 0.6271, 0.3200)  1 Os 1.87, 1 Mg 2.06
O (0.7149, 0.1672, 0.8598)  2 Os 1.96-1.97, 1 Mg 2.12
O (0.7851, 0.6672, 0.8598)  2 Os 1.96-1.97, 1 Mg 2.12
O (0.8141, 0.1271, 0.3200)  1 Os 1.87, 1 Mg 2.06
O (0.1859, 0.8729, 0.6800)  1 Os 1.87, 1 Mg 2.06
O (0.2851, 0.8328, 0.1402)  2 Os 1.96-1.97, 1 Mg 2.12
O (0.2149, 0.3328, 0.1402)  2 Os 1.96-1.97, 1 Mg 2.12
O (0.3141, 0.3729, 0.6800)  1 Os 1.87, 1 Mg 2.06
Mg (0.0000, 0.5000, 0.5000)  6 O 2.06-2.12
Mg (0.5000, 0.0000, 0.5000)  6 O 2.06-2.12

## Properties
Uncorrected formation energy ... -9.221 eV per formula unit
Calculated volume ... 11.19 Å³/atom

***

An optimized crystal structure of MgOs2O, computed with PBE-GGA.

a b c (Å): 4.6856 4.6856 7.4336
angles (deg): 71.63 71.63 90.00
Closest atoms and distances in Å follow each position.
Atoms (fractional coordinates):
O (0.5000, 0.5000, 0.0000)  4 Os 2.05
O (0.2500, 0.7500, 0.5000)  4 Os 2.05
Os (0.3750, 0.6774, 0.7500)  2 O 2.05
Os (0.4274, 0.6250, 0.2500)  2 O 2.05
Os (0.8750, 0.5726, 0.7500)  2 O 2.05
Os (0.3226, 0.1250, 0.2500)  2 O 2.05
Mg (0.0000, 0.0000, 0.0000)  4 Os 2.92
Mg (0.7500, 0.2500, 0.5000)  4 Os 2.92

## Properties
Uncorrected formation energy ... 2.534 eV per formula unit
E above lowest polymorph ... 0.0000 eV/atom
Calculated volume ... 18.26 Å³/atom

***

An optimized crystal structure of Mg2OsO, computed with PBE-GGA.

a b c (Å): 5.9082 5.9082 5.5719
angles (deg): 57.98 57.98 90.00
Closest atoms and distances in Å follow each position.
Atoms (fractional coordinates):
Mg (0.5175, 0.1250, 0.2500)  2 O 1.93
Mg (0.2325, 0.6250, 0.2500)  2 O 1.93
Mg (0.8750, 0.7675, 0.7500)  2 O 1.93
Mg (0.3750, 0.4825, 0.7500)  2 O 1.93
O (0.5000, 0.5000, 0.0000)  4 Mg 1.93
O (0.2500, 0.7500, 0.5000)  4 Mg 1.93
Os (0.7500, 0.2500, 0.5000)  4 Mg 2.74
Os (0.0000, 0.0000, 0.0000)  4 Mg 2.74

## Properties
Uncorrected formation energy ... -1.305 eV per formula unit
Calculated volume ... 16.09 Å³/atom

***

An optimized crystal structure of Mg3OsO6, computed with PBE-GGA.

a b c (Å): 6.0734 6.0734 6.0734
angles (deg): 91.26 91.26 91.26
Closest atoms and distances in Å follow each position.
Atoms (fractional coordinates):
O (0.0773, 0.3002, 0.9277)  1 Os 1.94, 1 Mg 2.04
O (0.8028, 0.4511, 0.5946)  1 Os 1.95, 2 Mg 2.04-2.09
O (0.0723, 0.9227, 0.6998)  1 Os 1.94, 1 Mg 2.04
O (0.9277, 0.0773, 0.3002)  1 Os 1.94, 1 Mg 2.04
O (0.6998, 0.0723, 0.9227)  1 Os 1.94, 1 Mg 2.04
O (0.4511, 0.5946, 0.8028)  1 Os 1.95, 2 Mg 2.04-2.09
O (0.5489, 0.4054, 0.1972)  1 Os 1.95, 2 Mg 2.04-2.09
O (0.5946, 0.8028, 0.4511)  1 Os 1.95, 2 Mg 2.04-2.09
O (0.1972, 0.5489, 0.4054)  1 Os 1.95, 2 Mg 2.04-2.09
O (0.4054, 0.1972, 0.5489)  1 Os 1.95, 2 Mg 2.04-2.09
O (0.3002, 0.9277, 0.0773)  1 Os 1.94, 1 Mg 2.04
O (0.9227, 0.6998, 0.0723)  1 Os 1.94, 1 Mg 2.04
Mg (0.7473, 0.4403, 0.9326)  6 O 2.04-2.25
Mg (0.0674, 0.2527, 0.5597)  6 O 2.04-2.25
Mg (0.9326, 0.7473, 0.4403)  6 O 2.04-2.25
Mg (0.5597, 0.0674, 0.2527)  6 O 2.04-2.25
Mg (0.4403, 0.9326, 0.7473)  6 O 2.04-2.25
Mg (0.2527, 0.5597, 0.0674)  6 O 2.04-2.25
Os (0.5000, 0.5000, 0.5000)  6 O 1.95
Os (0.0000, 0.0000, 0.0000)  6 O 1.94

## Properties
Uncorrected formation energy ... -19.926 eV per formula unit
Calculated volume ... 11.19 Å³/atom

***

An optimized crystal structure of MgOs2O, computed with PBE-GGA.

a b c (Å): 4.2198 4.2198 4.2198
angles (deg): 60.00 60.00 60.00
Closest atoms and distances in Å follow each position.
Atoms (fractional coordinates):
Mg (0.5000, 0.5000, 0.5000)  8 Os 2.58
O (0.0000, 0.0000, 0.0000)  8 Os 2.58
Os (0.2500, 0.2500, 0.2500)  4 O 2.58, 4 Mg 2.58
Os (0.7500, 0.7500, 0.7500)  4 O 2.58, 4 Mg 2.58

## Properties
Uncorrected formation energy ... 4.947 eV per formula unit
E above lowest polymorph ... 0.6032 eV/atom
Calculated volume ... 13.28 Å³/atom